First-principles (GGA-PBE) data for a relaxed structure of AcAlZn2Si, as listed in the Alexandria database.

* calculated density: 6.68 g/cm3
* symmetry: Imm2, No. 44
* E_form (uncorrected): -0.399 eV/atom
* spin magnetization: 0.0 Bohr magnetons per cell

Unit cell a=4.3866 b=4.3800 c=6.1740 alpha=110.78 beta=110.81 gamma=90.00
Sites, in units of the cell vectors:
1 Al 0.1919 0.6919 0.3839
2 Ac 0.4397 0.4397 0.8794
3 Si 0.8279 0.8279 0.6558
4 Zn 0.0625 0.0625 0.1250
5 Zn 0.6901 0.1901 0.3802